# 1
## ReTc5 (PBEsol)

Data for an optimized crystal structure of ReTc5.

Geometry as POSCAR:
```
ReTc5
1.0
2.715 0.000 0.000
0.000 2.715 0.000
0.000 0.000 11.496
Re Tc
1 5
direct
0.000 0.000 0.000
0.000 0.000 0.334
0.000 0.000 0.666
0.500 0.500 0.168
0.500 0.500 0.500
0.500 0.500 0.832
```

* space-group type: No. 123
* energy relative to the lowest polymorph listed for this composition: 0.074 eV/atom
* formation energy from the elements: 0.0717 eV per atom



# 2
## AlAg2AsPd (PBEsol)

Data for an optimized crystal structure of AlAg2AsPd.

Geometry as POSCAR:
```
AlAg2AsPd
1.0
4.812 0.000 0.000
0.000 4.812 0.000
0.000 0.000 4.680
Al Ag As Pd
1 2 1 1
direct
0.000 0.000 0.000
0.000 0.500 0.500
0.500 0.000 0.500
0.500 0.500 0.500
0.500 0.500 0.000
```

* space-group type: No. 123
* formation energy from the elements: 0.4142 eV per atom



# 3
## GaReBr2 (PBEsol)

Data for an optimized crystal structure of GaReBr2.

Geometry as POSCAR:
```
GaReBr2
1.0
0.000 3.286 3.286
3.286 0.000 3.286
3.286 3.286 0.000
Ga Re Br
1 1 2
direct
0.000 0.000 0.000
0.500 0.500 0.500
0.250 0.250 0.250
0.750 0.750 0.750
```

* formation energy without anion corrections: 1020 meV/atom
* space-group type: No. 225



# 4
## La2FeMo (PBEsol)

Data for an optimized crystal structure of La2FeMo.

Geometry as POSCAR:
```
La2FeMo
1.0
1.737 -2.636 0.000
1.737 2.636 0.000
0.000 0.000 8.890
La Fe Mo
2 1 1
direct
0.000 0.000 0.241
0.000 0.000 0.759
0.500 0.500 0.000
0.500 0.500 0.500
```

* space-group type: No. 65
* formation energy from the elements: 0.6611 eV per atom



# 5
## LiLa2Ag (PBEsol)

Data for an optimized crystal structure of LiLa2Ag.

Geometry as POSCAR:
```
LiLa2Ag
1.0
-1.806 2.603 5.454
1.806 -2.603 5.454
1.806 2.603 -5.454
Li La Ag
1 2 1
direct
0.000 0.000 0.000
0.283 0.783 0.500
0.566 0.566 0.000
0.823 0.323 0.500
```

* space-group type: No. 44
* energy relative to the lowest polymorph listed for this composition: 0.022 eV/atom
* formation energy from the elements: -0.0370 eV per atom



# 6
## OsRhW2 (PBEsol)

Data for an optimized crystal structure of OsRhW2.

Geometry as POSCAR:
```
OsRhW2
1.0
2.747 0.000 0.000
0.000 3.881 0.000
0.000 0.000 5.497
Os Rh W
1 1 2
direct
0.000 0.000 0.000
0.000 0.000 0.500
0.500 0.500 0.247
0.500 0.500 0.753
```

* space-group type: No. 47
* energy relative to the lowest polymorph listed for this composition: 0.021 eV/atom
* formation energy from the elements: -0.0526 eV per atom



Question: Number 2 is which compound?
Answer: AlAg2AsPd